(1)
First-principles (PBE-GGA) data for BaTaFe2 after structural relaxation, as listed in Alexandria.

Geometry as POSCAR:
```
BaTaFe2
1.0
0.000 3.379 3.379
3.379 0.000 3.379
3.379 3.379 0.000
Ba Ta Fe
1 1 2
direct
0.000 0.000 0.000
0.500 0.500 0.500
0.250 0.250 0.250
0.750 0.750 0.750
```

SG ... Fm-3m
Polymorph energy (0 for the lowest one) ... 0.654 eV/atom

---

(2)
First-principles (PBE-GGA) data for BaTaFe2 after structural relaxation, as listed in Alexandria.

Geometry as POSCAR:
```
BaTaFe2
1.0
-1.982 1.982 4.827
1.982 -1.982 4.827
1.982 1.982 -4.827
Ba Ta Fe
1 1 2
direct
0.000 0.000 0.000
0.750 0.250 0.500
0.250 0.750 0.500
0.500 0.500 0.000
```

SG ... I-4m2
Polymorph energy (0 for the lowest one) ... 0.841 eV/atom

---

(3)
First-principles (PBE-GGA) data for Ba2Ta2Fe after structural relaxation, as listed in Alexandria.

Geometry as POSCAR:
```
Ba2Ta2Fe
1.0
6.489 0.000 0.000
0.000 6.489 0.000
0.000 0.000 6.047
Ba Ta Fe
4 4 2
direct
0.183 0.317 0.000
0.317 0.817 0.000
0.683 0.183 0.000
0.817 0.683 0.000
0.156 0.656 0.500
0.344 0.156 0.500
0.656 0.844 0.500
0.844 0.344 0.500
0.000 0.000 0.500
0.500 0.500 0.500
```

SG ... P4/mbm
Polymorph energy (0 for the lowest one) ... 0.000 eV/atom

---

(4)
First-principles (PBE-GGA) data for BaTa2Fe after structural relaxation, as listed in Alexandria.

Geometry as POSCAR:
```
BaTa2Fe
1.0
4.027 0.000 0.000
0.000 4.027 0.000
0.000 0.000 5.271
Ba Ta Fe
1 2 1
direct
0.000 0.000 0.000
0.000 0.500 0.500
0.500 0.000 0.500
0.500 0.500 0.000
```

SG ... P4/mmm
Polymorph energy (0 for the lowest one) ... 0.820 eV/atom

---

(5)
First-principles (PBE-GGA) data for BaTaFe2 after structural relaxation, as listed in Alexandria.

Geometry as POSCAR:
```
BaTaFe2
1.0
-1.639 1.988 6.859
1.639 -1.988 6.859
1.639 1.988 -6.859
Ba Ta Fe
1 1 2
direct
0.000 0.000 0.000
0.733 0.233 0.500
0.229 0.729 0.500
0.350 0.350 0.000
```

SG ... Imm2
Polymorph energy (0 for the lowest one) ... 0.199 eV/atom

---

(6)
First-principles (PBE-GGA) data for BaTaFe2 after structural relaxation, as listed in Alexandria.

Geometry as POSCAR:
```
BaTaFe2
1.0
4.975 0.000 0.000
0.000 4.975 0.000
0.000 0.000 3.102
Ba Ta Fe
1 1 2
direct
0.000 0.000 0.000
0.500 0.500 0.000
0.000 0.500 0.500
0.500 0.000 0.500
```

SG ... P4/mmm
Polymorph energy (0 for the lowest one) ... 0.558 eV/atom

---

(7)
First-principles (PBE-GGA) data for BaTa2Fe after structural relaxation, as listed in Alexandria.

Geometry as POSCAR:
```
BaTa2Fe
1.0
3.219 0.000 0.000
0.000 4.848 0.000
0.000 0.000 5.331
Ba Ta Fe
1 2 1
direct
0.000 0.000 0.000
0.000 0.500 0.500
0.500 0.000 0.500
0.500 0.500 0.000
```

SG ... Pmmm
Polymorph energy (0 for the lowest one) ... 0.657 eV/atom

---

(8)
First-principles (PBE-GGA) data for BaTaFe after structural relaxation, as listed in Alexandria.

Geometry as POSCAR:
```
BaTaFe
1.0
4.042 0.000 0.000
-2.021 3.501 0.000
0.000 0.000 5.652
Ba Ta Fe
1 1 1
direct
0.000 0.000 0.000
0.333 0.667 0.500
0.667 0.333 0.500
```

SG ... P-6m2
Polymorph energy (0 for the lowest one) ... 0.000 eV/atom

---

(9)
First-principles (PBE-GGA) data for Ba2TaFe after structural relaxation, as listed in Alexandria.

Geometry as POSCAR:
```
Ba2TaFe
1.0
3.292 0.000 0.000
0.000 5.167 0.000
-0.064 0.000 6.692
Ba Ta Fe
2 1 1
direct
0.003 0.000 0.254
0.997 0.000 0.746
0.500 0.500 0.000
0.500 0.500 0.500
```

SG ... P2/m
Polymorph energy (0 for the lowest one) ... 0.753 eV/atom

---

(10)
First-principles (PBE-GGA) data for BaTa2Fe after structural relaxation, as listed in Alexandria.

Geometry as POSCAR:
```
BaTa2Fe
1.0
2.786 -5.316 0.000
2.786 5.316 0.000
0.000 0.000 2.880
Ba Ta Fe
1 2 1
direct
0.000 0.000 0.000
0.000 0.500 0.500
0.500 0.000 0.500
0.500 0.500 0.000
```

SG ... Cmmm
Polymorph energy (0 for the lowest one) ... 0.793 eV/atom

---

(11)
First-principles (PBE-GGA) data for Ba2TaFe after structural relaxation, as listed in Alexandria.

Geometry as POSCAR:
```
Ba2TaFe
1.0
3.469 0.000 0.000
0.000 3.469 0.000
0.000 0.000 10.028
Ba Ta Fe
2 1 1
direct
0.000 0.000 0.000
0.500 0.500 0.399
0.500 0.500 0.726
0.000 0.000 0.652
```

SG ... P4mm
Polymorph energy (0 for the lowest one) ... 0.000 eV/atom

---

(12)
First-principles (PBE-GGA) data for BaTa2Fe after structural relaxation, as listed in Alexandria.

Geometry as POSCAR:
```
BaTa2Fe
1.0
3.161 0.000 0.000
0.000 3.161 0.000
0.000 0.000 8.699
Ba Ta Fe
1 2 1
direct
0.000 0.000 0.000
0.000 0.000 0.429
0.500 0.500 0.645
0.500 0.500 0.293
```

SG ... P4mm
Polymorph energy (0 for the lowest one) ... 0.037 eV/atom

---

(13)
First-principles (PBE-GGA) data for BaTa2Fe after structural relaxation, as listed in Alexandria.

Geometry as POSCAR:
```
BaTa2Fe
1.0
4.989 0.000 0.000
0.000 4.989 0.000
0.000 0.000 3.159
Ba Ta Fe
1 2 1
direct
0.000 0.000 0.000
0.000 0.500 0.500
0.500 0.000 0.500
0.500 0.500 0.000
```

SG ... P4/mmm
Polymorph energy (0 for the lowest one) ... 0.906 eV/atom

---

(14)
First-principles (PBE-GGA) data for BaTa2Fe after structural relaxation, as listed in Alexandria.

Geometry as POSCAR:
```
BaTa2Fe
1.0
0.000 3.355 3.355
3.355 0.000 3.355
3.355 3.355 0.000
Ba Ta Fe
1 2 1
direct
0.000 0.000 0.000
0.250 0.250 0.250
0.750 0.750 0.750
0.500 0.500 0.500
```

SG ... Fm-3m
Polymorph energy (0 for the lowest one) ... 0.794 eV/atom

---

(15)
First-principles (PBE-GGA) data for BaTaFe after structural relaxation, as listed in Alexandria.

Geometry as POSCAR:
```
BaTaFe
1.0
0.000 3.331 3.331
3.331 0.000 3.331
3.331 3.331 0.000
Ba Ta Fe
1 1 1
direct
0.000 0.000 0.000
0.500 0.500 0.500
0.750 0.750 0.750
```

SG ... F-43m
Polymorph energy (0 for the lowest one) ... 0.574 eV/atom

---

(16)
First-principles (PBE-GGA) data for BaTa2Fe after structural relaxation, as listed in Alexandria.

Geometry as POSCAR:
```
BaTa2Fe
1.0
1.989 1.148 7.349
-1.989 1.148 7.349
0.000 -2.296 7.349
Ba Ta Fe
1 2 1
direct
0.000 0.000 0.000
0.545 0.545 0.545
0.797 0.797 0.797
0.173 0.173 0.173
```

SG ... R3m
Polymorph energy (0 for the lowest one) ... 0.033 eV/atom

---

(17)
First-principles (PBE-GGA) data for BaTa2Fe after structural relaxation, as listed in Alexandria.

Geometry as POSCAR:
```
BaTa2Fe
1.0
-2.029 2.029 5.072
2.029 -2.029 5.072
2.029 2.029 -5.072
Ba Ta Fe
1 2 1
direct
0.000 0.000 0.000
0.250 0.750 0.500
0.750 0.250 0.500
0.500 0.500 0.000
```

SG ... I4/mmm
Polymorph energy (0 for the lowest one) ... 0.784 eV/atom

---

(18)
First-principles (PBE-GGA) data for BaTaFe4 after structural relaxation, as listed in Alexandria.

Geometry as POSCAR:
```
BaTaFe4
1.0
0.000 3.634 3.634
3.634 0.000 3.634
3.634 3.634 0.000
Ba Ta Fe
1 1 4
direct
0.000 0.000 0.000
0.250 0.250 0.250
0.131 0.623 0.623
0.623 0.131 0.623
0.623 0.623 0.131
0.623 0.623 0.623
```

SG ... F-43m

---

(19)
First-principles (PBE-GGA) data for BaTaFe2 after structural relaxation, as listed in Alexandria.

Geometry as POSCAR:
```
BaTaFe2
1.0
0.000 3.341 3.341
3.341 0.000 3.341
3.341 3.341 0.000
Ba Ta Fe
1 1 2
direct
0.000 0.000 0.000
0.750 0.750 0.750
0.250 0.250 0.250
0.500 0.500 0.500
```

SG ... F-43m
Polymorph energy (0 for the lowest one) ... 0.769 eV/atom

---

(20)
First-principles (PBE-GGA) data for BaTa2Fe after structural relaxation, as listed in Alexandria.

Geometry as POSCAR:
```
BaTa2Fe
1.0
2.945 -5.524 0.000
2.945 5.524 0.000
-1.492 0.000 2.609
Ba Ta Fe
1 2 1
direct
0.000 0.000 0.000
0.000 0.500 0.500
0.500 0.000 0.500
0.500 0.500 0.000
```

SG ... C2/m
Polymorph energy (0 for the lowest one) ... 0.671 eV/atom

---

(21)
First-principles (PBE-GGA) data for BaTa2Fe after structural relaxation, as listed in Alexandria.

Geometry as POSCAR:
```
BaTa2Fe
1.0
-1.622 1.912 7.995
1.622 -1.912 7.995
1.622 1.912 -7.995
Ba Ta Fe
1 2 1
direct
0.000 0.000 0.000
0.321 0.321 0.000
0.691 0.191 0.500
0.211 0.711 0.500
```

SG ... Imm2
Polymorph energy (0 for the lowest one) ... 0.206 eV/atom

---

(22)
First-principles (PBE-GGA) data for Ba2TaFe after structural relaxation, as listed in Alexandria.

Geometry as POSCAR:
```
Ba2TaFe
1.0
-1.690 1.878 9.663
1.690 -1.878 9.663
1.690 1.878 -9.663
Ba Ta Fe
2 1 1
direct
0.148 0.148 0.000
0.852 0.852 0.000
0.500 0.000 0.500
0.000 0.500 0.500
```

SG ... Immm
Polymorph energy (0 for the lowest one) ... 0.069 eV/atom

---

(23)
First-principles (PBE-GGA) data for BaTaFe2 after structural relaxation, as listed in Alexandria.

Geometry as POSCAR:
```
BaTaFe2
1.0
1.989 1.148 6.797
-1.989 1.148 6.797
0.000 -2.296 6.797
Ba Ta Fe
1 1 2
direct
0.000 0.000 0.000
0.181 0.181 0.181
0.459 0.459 0.459
0.792 0.792 0.792
```

SG ... R3m
Polymorph energy (0 for the lowest one) ... 0.053 eV/atom

---

(24)
First-principles (PBE-GGA) data for BaTa2Fe after structural relaxation, as listed in Alexandria.

Geometry as POSCAR:
```
BaTa2Fe
1.0
0.000 3.469 3.469
3.469 0.000 3.469
3.469 3.469 0.000
Ba Ta Fe
1 2 1
direct
0.000 0.000 0.000
0.500 0.500 0.500
0.750 0.750 0.750
0.250 0.250 0.250
```

SG ... F-43m
Polymorph energy (0 for the lowest one) ... 0.671 eV/atom

---

(25)
First-principles (PBE-GGA) data for BaTaFe2 after structural relaxation, as listed in Alexandria.

Geometry as POSCAR:
```
BaTaFe2
1.0
3.171 0.000 0.000
0.000 3.171 0.000
0.000 0.000 8.115
Ba Ta Fe
1 1 2
direct
0.000 0.000 0.000
0.500 0.500 0.630
0.000 0.000 0.465
0.500 0.500 0.316
```

SG ... P4mm
Polymorph energy (0 for the lowest one) ... 0.181 eV/atom

---

(26)
First-principles (PBE-GGA) data for BaTa2Fe after structural relaxation, as listed in Alexandria.

Geometry as POSCAR:
```
BaTa2Fe
1.0
3.033 0.000 0.000
0.000 3.538 0.000
-0.608 0.000 8.249
Ba Ta Fe
1 2 1
direct
0.000 0.000 0.000
0.427 0.500 0.654
0.573 0.500 0.346
0.000 0.000 0.500
```

SG ... P2/m
Polymorph energy (0 for the lowest one) ... 0.143 eV/atom

---

(27)
First-principles (PBE-GGA) data for Ba2TaFe after structural relaxation, as listed in Alexandria.

Geometry as POSCAR:
```
Ba2TaFe
1.0
-6.121 6.121 2.252
6.121 -6.121 2.252
6.121 6.121 -2.252
Ba Ta Fe
4 2 2
direct
0.375 0.054 0.179
0.804 0.625 0.679
0.875 0.196 0.821
0.946 0.125 0.321
0.250 0.750 0.500
0.500 0.500 0.000
0.000 0.000 0.000
0.750 0.250 0.500
```

SG ... I-42d
Polymorph energy (0 for the lowest one) ... 0.391 eV/atom

---

(28)
First-principles (PBE-GGA) data for Ba2TaFe after structural relaxation, as listed in Alexandria.

Geometry as POSCAR:
```
Ba2TaFe
1.0
3.307 0.000 0.000
0.000 3.307 0.000
0.000 0.000 10.314
Ba Ta Fe
2 1 1
direct
0.000 0.000 0.236
0.000 0.000 0.764
0.500 0.500 0.500
0.500 0.500 0.000
```

SG ... P4/mmm
Polymorph energy (0 for the lowest one) ... 0.667 eV/atom

---

(29)
First-principles (PBE-GGA) data for BaTa2Fe after structural relaxation, as listed in Alexandria.

Geometry as POSCAR:
```
BaTa2Fe
1.0
-2.673 2.673 8.032
2.673 -2.673 8.032
2.673 2.673 -8.032
Ba Ta Fe
2 4 2
direct
0.375 0.625 0.750
0.625 0.375 0.250
0.000 0.000 0.000
0.000 0.000 0.500
0.000 0.500 0.000
0.500 0.000 0.500
0.125 0.875 0.250
0.875 0.125 0.750
```

SG ... I4_1/amd
Polymorph energy (0 for the lowest one) ... 0.789 eV/atom

---

(30)
First-principles (PBE-GGA) data for Ba2TaFe after structural relaxation, as listed in Alexandria.

Geometry as POSCAR:
```
Ba2TaFe
1.0
0.000 3.880 3.880
3.880 0.000 3.880
3.880 3.880 0.000
Ba Ta Fe
2 1 1
direct
0.250 0.250 0.250
0.750 0.750 0.750
0.000 0.000 0.000
0.500 0.500 0.500
```

SG ... Fm-3m
Polymorph energy (0 for the lowest one) ... 1.086 eV/atom

---

Here are the calculated formation energy numbers, same order: 1.076 1.263 0.869 1.317 0.621 0.980 1.154 0.805 1.312 1.290 0.560 0.534 1.403 1.291 1.379 0.530 1.281 0.626 1.191 1.168 0.703 0.629 0.475 1.168 0.603 0.640 0.951 1.226 1.286 1.646 (eV per atom).